SrNbCr2O8 | PBE with a Hubbard U | optimized geometry

Calculated values
N(E_F)	0.41	states/eV per atom
uncorrected energy	-90.0	eV for the cell shown

abc: 5.640 5.640 6.862
angles: 90.00 90.00 120.00
Each line ends with the local moment (μB).
Element x y z (fractional)
Sr 0.000 0.000 0.000  0.00
Nb 0.000 0.000 0.500  0.17
Cr 0.667 0.333 0.234  1.69
Cr 0.333 0.667 0.766  1.69
O 0.333 0.667 0.008  -0.12
O 0.320 0.161 0.319  -0.06
O 0.839 0.159 0.319  -0.06
O 0.667 0.333 0.992  -0.12
O 0.161 0.841 0.681  -0.06
O 0.680 0.839 0.681  -0.06
O 0.159 0.320 0.681  -0.06
O 0.841 0.680 0.319  -0.06



TaNbCrO6 | PBE with a Hubbard U | optimized geometry

Calculated values
N(E_F)	0.22	states/eV per atom
uncorrected energy	-162.7	eV for the cell shown

abc: 4.789 4.789 9.276
angles: 90.00 90.00 90.00
Each line ends with the local moment (μB).
Element x y z (fractional)
Ta 0.500 0.500 0.834  0.14
Ta 0.000 0.000 0.334  0.14
Nb 0.500 0.500 0.166  0.45
Nb 0.000 0.000 0.666  0.45
Cr 0.500 0.500 0.500  3.37
Cr 0.000 0.000 0.000  3.37
O 0.193 0.807 0.497  -0.03
O 0.807 0.193 0.497  -0.03
O 0.307 0.307 0.997  -0.03
O 0.693 0.693 0.997  -0.03
O 0.197 0.803 0.172  -0.02
O 0.803 0.197 0.172  -0.02
O 0.303 0.303 0.672  -0.02
O 0.697 0.697 0.672  -0.02
O 0.799 0.201 0.830  -0.02
O 0.201 0.799 0.830  -0.02
O 0.701 0.701 0.330  -0.02
O 0.299 0.299 0.330  -0.02



TaNbCrO2 | PBE with a Hubbard U | optimized geometry

Calculated values
N(E_F)	0.70	states/eV per atom
E above lowest polymorph	197.3	meV/atom

abc: 3.704 5.376 3.704
angles: 90.00 90.00 90.00
Each line ends with the local moment (μB).
Element x y z (fractional)
Cr 0.000 0.000 0.000  0.10
Nb 0.000 0.500 0.000  0.04
O 0.000 0.000 0.500  0.00
O 0.500 0.000 0.000  -0.02
Ta 0.500 0.500 0.500  0.03



TaNbCrO2 | PBE with a Hubbard U | optimized geometry

Calculated values
N(E_F)	0.69	states/eV per atom
E above lowest polymorph	0.0	meV/atom

abc: 3.828 6.175 3.828
angles: 90.00 90.00 90.00
Element x y z (fractional)
Cr 0.500 0.500 0.500
Nb 0.000 0.000 0.000
O 0.000 0.000 0.500
O 0.500 0.000 0.000
Ta 0.000 0.500 0.000



Ti3Nb2Cr3O16 | PBE with a Hubbard U | optimized geometry

Calculated values
uncorrected energy	-203.2	eV for the cell shown

abc: 5.951 5.978 9.406
angles: 90.44 90.78 119.59
Each line ends with the local moment (μB).
Element x y z (fractional)
Ti 0.659 0.830 0.722  0.03
Ti 0.814 0.150 0.217  0.02
Ti 0.833 0.650 0.225  0.02
Nb 0.659 0.330 0.500  0.05
Nb 0.315 0.649 0.998  0.05
Cr 0.338 0.169 0.207  2.94
Cr 0.170 0.343 0.706  2.96
Cr 0.179 0.840 0.717  2.27
O 0.825 0.167 0.599  -0.02
O 0.961 0.476 0.337  0.00
O 0.679 0.338 0.106  -0.01
O 0.999 0.998 0.305  -0.01
O 0.009 0.003 0.801  -0.09
O 0.829 0.658 0.601  -0.01
O 0.528 0.044 0.335  -0.02
O 0.530 0.483 0.336  -0.02
O 0.653 0.828 0.099  0.00
O 0.337 0.169 0.598  -0.02
O 0.487 0.535 0.835  -0.03
O 0.480 0.964 0.834  -0.06
O 0.334 0.682 0.607  -0.09
O 0.163 0.333 0.097  -0.01
O 0.053 0.537 0.833  -0.06
O 0.168 0.825 0.099  -0.02



NbTl2CrO6 | PBE with a Hubbard U | optimized geometry

Calculated values
N(E_F)	0.50	states/eV per atom
uncorrected energy	-133.0	eV for the cell shown

abc: 5.837 5.837 10.124
angles: 73.25 73.25 60.00
Each line ends with the local moment (μB).
Element x y z (fractional)
Nb 0.000 0.000 0.000  0.11
Nb 0.500 0.500 0.500  0.01
Tl 0.875 0.875 0.375  -0.06
Tl 0.125 0.125 0.625  -0.06
Tl 0.730 0.730 0.810  -0.09
Tl 0.270 0.270 0.190  -0.09
Cr 0.596 0.596 0.213  2.53
Cr 0.404 0.404 0.787  2.53
O 0.844 0.398 0.359  -0.08
O 0.398 0.844 0.359  -0.08
O 0.398 0.398 0.359  -0.08
O 0.156 0.602 0.641  -0.08
O 0.602 0.156 0.641  -0.08
O 0.602 0.602 0.641  -0.08
O 0.705 0.206 0.883  -0.16
O 0.206 0.705 0.883  -0.16
O 0.206 0.206 0.883  -0.16
O 0.295 0.794 0.117  -0.16
O 0.794 0.295 0.117  -0.16
O 0.794 0.794 0.117  -0.16



NbV2CrO6 | PBE with a Hubbard U | optimized geometry

Calculated values
N(E_F)	0.00	states/eV per atom
uncorrected energy	-82.9	eV for the cell shown

abc: 5.239 5.239 5.644
angles: 62.34 62.34 60.00
Each line ends with the local moment (μB).
Element x y z (fractional)
Nb 0.816 0.816 0.551  0.33
V 0.520 0.520 0.441  2.52
V 0.014 0.014 0.959  2.55
Cr 0.317 0.317 0.049  3.18
O 0.598 0.210 0.254  -0.03
O 0.210 0.938 0.254  -0.03
O 0.938 0.598 0.254  -0.03
O 0.439 0.712 0.751  -0.02
O 0.712 0.097 0.751  -0.02
O 0.097 0.439 0.751  -0.02



NbVCr2O6 | PBE with a Hubbard U | optimized geometry

Calculated values
uncorrected energy	-82.5	eV for the cell shown

abc: 5.295 5.270 5.620
angles: 63.43 63.92 59.03
Each line ends with the local moment (μB).
Element x y z (fractional)
Nb 0.313 0.315 0.046  0.21
V 0.811 0.813 0.559  2.63
Cr 0.522 0.522 0.441  3.74
Cr 0.014 0.014 0.956  3.12
O 0.609 0.216 0.240  -0.04
O 0.224 0.936 0.239  -0.03
O 0.958 0.608 0.237  -0.03
O 0.398 0.717 0.757  -0.04
O 0.718 0.123 0.757  -0.04
O 0.095 0.397 0.782  -0.01